(1)
{
  "formula": "NaAl6Zn2",
  "functional": "GGA-PBE",
  "state": "optimized geometry",
  "cell": [[4.119, 0.000, 0.000], [0.000, 4.119, 0.000], [0.000, 0.000, 9.738]],
  "species": ["Al", "Al", "Al", "Na", "Al", "Al", "Zn", "Zn", "Al"],
  "fractional_positions": [[0.500, 0.500, 0.500], [0.500, 0.000, 0.300], [0.500, 0.000, 0.700], [0.000, 0.000, 0.000], [0.000, 0.000, 0.500], [0.000, 0.500, 0.700], [0.500, 0.500, 0.127], [0.500, 0.500, 0.873], [0.000, 0.500, 0.300]],
  "magmom_total_mub_per_atom": 0.0000,
  "dft_energy_ry_per_atom": -0.2146,
  "ef_ev_per_atom": 0.005
}

(2)
{
  "formula": "SrZn4W",
  "functional": "GGA-PBE",
  "state": "optimized geometry",
  "cell": [[0.000, 3.770, 3.770], [3.770, 0.000, 3.770], [3.770, 3.770, 0.000]],
  "species": ["Sr", "Zn", "Zn", "Zn", "Zn", "W"],
  "fractional_positions": [[0.750, 0.750, 0.750], [0.373, 0.373, 0.373], [0.373, 0.373, 0.882], [0.882, 0.373, 0.373], [0.373, 0.882, 0.373], [0.000, 0.000, 0.000]],
  "magmom_total_mub_per_atom": 0.4241,
  "dft_energy_ry_per_atom": -0.2164,
  "ef_ev_per_atom": 0.344
}

(3)
{
  "formula": "Zr5Si2Te2",
  "functional": "GGA-PBE",
  "state": "optimized geometry",
  "cell": [[0.124, 0.368, 7.195], [4.738, -5.377, 0.193], [5.573, 5.028, 3.255]],
  "species": ["Zr", "Te", "Zr", "Zr", "Zr", "Si", "Zr", "Te", "Zr", "Zr", "Zr", "Zr", "Te", "Si", "Si", "Si", "Te", "Zr"],
  "fractional_positions": [[0.500, 0.500, 0.000], [0.793, 0.000, 0.415], [0.049, 0.672, 0.241], [0.451, 0.172, 0.759], [0.790, 0.828, 0.759], [0.876, 0.623, 0.000], [0.710, 0.328, 0.241], [0.207, 0.000, 0.585], [0.210, 0.172, 0.241], [0.290, 0.672, 0.759], [0.549, 0.828, 0.241], [0.951, 0.328, 0.759], [0.293, 0.500, 0.415], [0.124, 0.377, 0.000], [0.624, 0.123, 0.000], [0.376, 0.877, 0.000], [0.707, 0.500, 0.585], [0.000, 0.000, 0.000]],
  "magmom_total_mub_per_atom": 0.0000,
  "dft_energy_ry_per_atom": -0.5547,
  "e_form_raw_ev_per_fu": -8.05
}

(4)
{
  "formula": "AlNiPt2",
  "functional": "GGA-PBE",
  "state": "optimized geometry",
  "cell": [[-3.435, 0.492, -0.716], [-0.203, -2.671, -0.859], [-1.516, -4.247, 4.353]],
  "species": ["Pt", "Al", "Ni", "Pt"],
  "fractional_positions": [[0.000, 0.499, 0.501], [0.500, 0.250, 0.250], [0.500, 0.750, 0.750], [0.000, 0.001, 0.999]],
  "magmom_total_mub_per_atom": 0.1408,
  "dft_energy_ry_per_atom": -0.4422,
  "ef_ev_per_atom": -0.616
}

(5)
{
  "formula": "Hf2SbF",
  "functional": "GGA-PBE",
  "state": "optimized geometry",
  "cell": [[-4.672, 0.502, -2.016], [0.097, -4.903, -1.447], [-5.155, -4.081, 4.448]],
  "species": ["Hf", "Hf", "F", "Sb", "F", "Hf", "Hf", "Sb"],
  "fractional_positions": [[0.375, 0.500, 0.750], [0.875, 0.750, 0.750], [0.250, 0.750, 0.500], [0.750, 0.250, 0.500], [0.500, 0.500, 0.000], [0.500, 0.125, 0.250], [0.250, 0.625, 0.250], [0.000, 0.000, 0.000]],
  "magmom_total_mub_per_atom": 0.0000,
  "dft_energy_ry_per_atom": -0.5116,
  "e_form_raw_ev_per_fu": -1.94
}

(6)
{
  "formula": "Pm2HgAu",
  "functional": "GGA-PBE",
  "state": "optimized geometry",
  "cell": [[4.132, 0.000, 0.000], [2.066, 3.578, 0.000], [2.066, 1.193, 8.045]],
  "species": ["Au", "Pm", "Pm", "Hg"],
  "fractional_positions": [[0.666, 0.666, 0.002], [0.257, 0.257, 0.228], [0.076, 0.076, 0.771], [0.500, 0.500, 0.499]],
  "magmom_total_mub_per_atom": 0.0000,
  "dft_energy_ry_per_atom": -0.2768,
  "ef_ev_per_atom": -0.496
}

(7)
{
  "formula": "Zr5Zn",
  "functional": "GGA-PBE",
  "state": "optimized geometry",
  "cell": [[-2.131, 2.406, -0.399], [-2.292, -2.157, -0.765], [-3.219, -0.854, 12.056]],
  "species": ["Zr", "Zr", "Zn", "Zr", "Zr", "Zr"],
  "fractional_positions": [[0.000, 0.000, 0.354], [0.500, 0.500, 0.178], [0.500, 0.500, 0.500], [0.000, 0.000, 0.000], [0.500, 0.500, 0.822], [0.000, 0.000, 0.646]],
  "magmom_total_mub_per_atom": 0.0000,
  "dft_energy_ry_per_atom": -0.5439,
  "ef_ev_per_atom": -0.065
}

(8)
{
  "formula": "KZnAgHg2",
  "functional": "GGA-PBE",
  "state": "optimized geometry",
  "cell": [[-0.231, 5.470, -0.784], [-1.268, -0.816, -5.321], [-4.940, -0.039, 1.183]],
  "species": ["Ag", "K", "Zn", "Hg", "Hg"],
  "fractional_positions": [[0.000, 0.000, 0.000], [0.500, 0.500, 0.500], [0.000, 0.000, 0.500], [0.000, 0.500, 0.000], [0.500, 0.000, 0.000]],
  "magmom_total_mub_per_atom": 0.0000,
  "dft_energy_ry_per_atom": -0.0851,
  "ef_ev_per_atom": 0.008
}

(9)
{
  "formula": "CaAlPF2",
  "functional": "GGA-PBE",
  "state": "optimized geometry",
  "cell": [[4.297, 0.000, 0.000], [0.000, 5.770, 0.000], [0.000, 0.000, 4.297]],
  "species": ["F", "P", "Ca", "Al", "F"],
  "fractional_positions": [[0.500, 0.000, 0.000], [0.000, 0.000, 0.000], [0.000, 0.500, 0.000], [0.500, 0.500, 0.500], [0.000, 0.000, 0.500]],
  "magmom_total_mub_per_atom": 0.0000,
  "dft_energy_ry_per_atom": -0.2645,
  "e_form_raw_ev_per_fu": -3.10
}

(10)
{
  "formula": "Sr2BePt",
  "functional": "GGA-PBE",
  "state": "optimized geometry",
  "cell": [[8.151, 0.000, 0.000], [0.000, 8.151, 0.000], [4.076, 4.076, 3.572]],
  "species": ["Pt", "Sr", "Sr", "Sr", "Be", "Be", "Sr", "Pt"],
  "fractional_positions": [[0.750, 0.250, 0.500], [0.642, 0.125, 0.250], [0.375, 0.358, 0.750], [0.875, 0.892, 0.750], [0.500, 0.500, 0.000], [0.250, 0.750, 0.500], [0.108, 0.625, 0.250], [0.000, 0.000, 0.000]],
  "magmom_total_mub_per_atom": 0.0000,
  "dft_energy_ry_per_atom": -0.2244,
  "ef_ev_per_atom": 0.230
}

(11)
{
  "formula": "LaSnAu3",
  "functional": "GGA-PBE",
  "state": "optimized geometry",
  "cell": [[4.530, 0.000, 0.000], [0.000, 3.729, -0.713], [0.000, 0.740, 13.976]],
  "species": ["Au", "Au", "Au", "Au", "Au", "La", "Sn", "Au", "La", "Sn"],
  "fractional_positions": [[0.250, 0.472, 0.944], [0.250, 0.373, 0.746], [0.750, 0.309, 0.618], [0.750, 0.627, 0.254], [0.750, 0.528, 0.056], [0.250, 0.078, 0.156], [0.750, 0.207, 0.413], [0.250, 0.691, 0.382], [0.750, 0.922, 0.844], [0.250, 0.793, 0.587]],
  "magmom_total_mub_per_atom": 0.0000,
  "dft_energy_ry_per_atom": -0.3175,
  "ef_ev_per_atom": -0.568
}

(12)
{
  "formula": "TmPu2Th",
  "functional": "GGA-PBE",
  "state": "optimized geometry",
  "cell": [[4.809, 0.000, 0.000], [0.000, 4.874, 0.000], [0.000, 0.000, 4.874]],
  "species": ["Pu", "Th", "Pu", "Tm"],
  "fractional_positions": [[0.000, 0.500, 0.000], [0.500, 0.000, 0.000], [0.000, 0.000, 0.500], [0.500, 0.500, 0.500]],
  "magmom_total_mub_per_atom": 2.9979,
  "dft_energy_ry_per_atom": -0.7338,
  "ef_ev_per_atom": 0.155
}

(13)
{
  "formula": "Ba2Ga2F",
  "functional": "GGA-PBE",
  "state": "optimized geometry",
  "cell": [[-2.265, -6.797, -3.471], [-0.716, -3.415, 7.156], [-4.998, 1.544, 0.237]],
  "species": ["Ba", "Ga", "Ba", "Ga", "Ga", "Ga", "F", "Ba", "Ba", "F"],
  "fractional_positions": [[0.203, 0.297, 0.000], [0.894, 0.394, 0.500], [0.297, 0.797, 0.000], [0.106, 0.606, 0.500], [0.394, 0.106, 0.500], [0.606, 0.894, 0.500], [0.500, 0.500, 0.000], [0.797, 0.703, 0.000], [0.703, 0.203, 0.000], [0.000, 0.000, 0.000]],
  "magmom_total_mub_per_atom": 0.0002,
  "dft_energy_ry_per_atom": -0.2537,
  "e_form_raw_ev_per_fu": -5.49
}

(14)
{
  "formula": "KCaSnPb",
  "functional": "GGA-PBE",
  "state": "optimized geometry",
  "cell": [[5.678, 0.000, 0.000], [2.839, 4.917, 0.000], [2.839, 1.639, 4.636]],
  "species": ["Pb", "Sn", "K", "Ca"],
  "fractional_positions": [[0.750, 0.750, 0.750], [0.250, 0.250, 0.250], [0.000, 0.000, 0.000], [0.500, 0.500, 0.500]],
  "magmom_total_mub_per_atom": 0.0000,
  "dft_energy_ry_per_atom": -0.2160,
  "ef_ev_per_atom": -0.236
}

(15)
{
  "formula": "BeFeAs2",
  "functional": "GGA-PBE",
  "state": "optimized geometry",
  "cell": [[5.240, 0.204, 0.000], [2.682, 4.506, 0.000], [-3.961, -2.355, 2.503]],
  "species": ["Fe", "As", "Be", "As"],
  "fractional_positions": [[0.750, 0.250, 0.500], [0.000, 0.000, 0.000], [0.500, 0.500, 0.000], [0.250, 0.750, 0.500]],
  "magmom_total_mub_per_atom": 0.5835,
  "dft_energy_ry_per_atom": -0.3654,
  "ef_ev_per_atom": 0.401
}

(16)
{
  "formula": "BaCaI",
  "functional": "GGA-PBE",
  "state": "optimized geometry",
  "cell": [[-0.637, -3.970, -1.711], [16.596, -0.913, -4.066], [1.410, -2.996, 6.427]],
  "species": ["Ba", "I", "I", "Ba", "Ca", "Ca", "I", "Ca", "Ca", "Ba", "I", "Ba"],
  "fractional_positions": [[0.000, 0.415, 0.153], [0.500, 0.746, 0.491], [0.000, 0.754, 0.991], [0.500, 0.915, 0.153], [0.000, 0.117, 0.155], [0.500, 0.383, 0.655], [0.000, 0.246, 0.491], [0.000, 0.883, 0.655], [0.500, 0.617, 0.155], [0.500, 0.085, 0.653], [0.500, 0.254, 0.991], [0.000, 0.585, 0.653]],
  "magmom_total_mub_per_atom": 0.1963,
  "dft_energy_ry_per_atom": -0.1896,
  "e_form_raw_ev_per_fu": -2.27
}

(17)
{
  "formula": "Na3YZr",
  "functional": "GGA-PBE",
  "state": "optimized geometry",
  "cell": [[-4.604, 1.518, 2.923], [-3.276, -2.639, -3.789], [0.346, -4.773, 3.025]],
  "species": ["Na", "Zr", "Na", "Y", "Na"],
  "fractional_positions": [[0.500, 0.000, 0.000], [0.000, 0.000, 0.000], [0.000, 0.000, 0.500], [0.500, 0.500, 0.500], [0.000, 0.500, 0.000]],
  "magmom_total_mub_per_atom": 0.5450,
  "dft_energy_ry_per_atom": -0.1842,
  "ef_ev_per_atom": 1.288
}

(18)
{
  "formula": "Nd2ThSc",
  "functional": "GGA-PBE",
  "state": "optimized geometry",
  "cell": [[3.575, 0.000, 0.000], [1.788, 3.096, 0.000], [1.788, 1.032, 11.457]],
  "species": ["Th", "Nd", "Sc", "Nd"],
  "fractional_positions": [[0.667, 0.667, 0.000], [0.085, 0.085, 0.744], [0.500, 0.500, 0.499], [0.248, 0.248, 0.257]],
  "magmom_total_mub_per_atom": 0.0001,
  "dft_energy_ry_per_atom": -0.4227,
  "ef_ev_per_atom": 0.071
}

(19)
{
  "formula": "Th3Pb5Se12",
  "functional": "GGA-PBE",
  "state": "optimized geometry",
  "cell": [[-0.076, -13.057, 7.240], [7.829, 9.998, 7.852], [-14.022, 4.852, -1.660]],
  "species": ["Se", "Se", "Pb", "Se", "Se", "Th", "Pb", "Th", "Se", "Se", "Se", "Pb", "Se", "Se", "Se", "Se", "Pb", "Se", "Se", "Pb", "Se", "Se", "Th", "Th", "Pb", "Se", "Se", "Se", "Se", "Th", "Pb", "Se", "Se", "Se", "Pb", "Se", "Pb", "Se", "Th", "Se", "Pb", "Pb", "Pb", "Pb", "Pb", "Se", "Se", "Se", "Se", "Pb", "Th", "Se", "Pb", "Pb", "Se", "Th", "Se", "Se", "Se", "Pb", "Se", "Se", "Se", "Th", "Pb", "Se", "Se", "Pb", "Se", "Se", "Se", "Se", "Se", "Se", "Se", "Th", "Th", "Se", "Th", "Se"],
  "fractional_positions": [[0.168, 0.082, 0.939], [0.561, 0.228, 0.143], [0.875, 0.625, 0.750], [0.772, 0.439, 0.357], [0.582, 0.643, 0.414], [0.750, 0.375, 0.125], [0.000, 0.500, 0.500], [0.125, 0.250, 0.875], [0.582, 0.939, 0.668], [0.561, 0.332, 0.918], [0.357, 0.418, 0.086], [0.500, 0.500, 0.500], [0.939, 0.357, 0.272], [0.832, 0.918, 0.061], [0.668, 0.439, 0.582], [0.272, 0.857, 0.939], [0.250, 0.375, 0.625], [0.439, 0.772, 0.857], [0.228, 0.561, 0.643], [0.000, 0.000, 0.500], [0.914, 0.832, 0.772], [0.061, 0.643, 0.728], [0.625, 0.250, 0.375], [0.250, 0.125, 0.375], [0.250, 0.875, 0.125], [0.168, 0.086, 0.728], [0.918, 0.832, 0.561], [0.728, 0.586, 0.168], [0.728, 0.143, 0.061], [0.875, 0.125, 0.250], [0.500, 0.500, 0.000], [0.668, 0.228, 0.586], [0.272, 0.414, 0.832], [0.418, 0.061, 0.332], [0.875, 0.250, 0.625], [0.586, 0.857, 0.418], [0.625, 0.750, 0.875], [0.418, 0.357, 0.586], [0.875, 0.750, 0.125], [0.228, 0.668, 0.086], [0.000, 0.000, 0.000], [0.500, 0.000, 0.000], [0.125, 0.750, 0.375], [0.750, 0.625, 0.375], [0.000, 0.500, 0.000], [0.414, 0.272, 0.332], [0.086, 0.918, 0.357], [0.918, 0.086, 0.857], [0.082, 0.168, 0.439], [0.125, 0.375, 0.250], [0.250, 0.625, 0.875], [0.939, 0.582, 0.168], [0.625, 0.875, 0.250], [0.750, 0.125, 0.875], [0.643, 0.061, 0.228], [0.125, 0.875, 0.750], [0.082, 0.914, 0.143], [0.086, 0.168, 0.228], [0.143, 0.728, 0.561], [0.500, 0.000, 0.500], [0.357, 0.939, 0.772], [0.061, 0.418, 0.832], [0.586, 0.728, 0.668], [0.375, 0.750, 0.625], [0.375, 0.125, 0.750], [0.332, 0.561, 0.418], [0.414, 0.143, 0.582], [0.375, 0.250, 0.125], [0.772, 0.332, 0.914], [0.439, 0.668, 0.082], [0.332, 0.772, 0.414], [0.914, 0.082, 0.643], [0.643, 0.582, 0.914], [0.143, 0.414, 0.082], [0.832, 0.914, 0.272], [0.375, 0.625, 0.250], [0.625, 0.375, 0.750], [0.857, 0.272, 0.439], [0.750, 0.875, 0.625], [0.857, 0.586, 0.918]],
  "magmom_total_mub_per_atom": 0.0000,
  "dft_energy_ry_per_atom": -0.3672,
  "e_form_raw_ev_per_fu": -17.30
}

(20)
{
  "formula": "HoCrH",
  "functional": "GGA-PBE",
  "state": "optimized geometry",
  "cell": [[3.104, 0.000, 0.000], [0.000, 3.104, 0.000], [0.000, 0.000, 8.500]],
  "species": ["Ho", "Ho", "Cr", "Cr", "H", "H"],
  "fractional_positions": [[0.000, 0.500, 0.181], [0.500, 0.000, 0.819], [0.000, 0.500, 0.550], [0.500, 0.000, 0.450], [0.000, 0.500, 0.913], [0.500, 0.000, 0.087]],
  "magmom_total_mub_per_atom": 0.0000,
  "dft_energy_ry_per_atom": -0.4322
}

(21)
{
  "formula": "RhAuF2",
  "functional": "GGA-PBE",
  "state": "optimized geometry",
  "cell": [[-2.848, 1.819, 2.076], [-0.470, -3.259, 2.211], [3.562, 1.853, 7.049]],
  "species": ["F", "Au", "Au", "F", "Rh", "F", "Rh", "F"],
  "fractional_positions": [[0.178, 0.625, 0.250], [0.750, 0.250, 0.500], [0.000, 0.000, 0.000], [0.875, 0.822, 0.750], [0.250, 0.750, 0.500], [0.375, 0.428, 0.750], [0.500, 0.500, 0.000], [0.572, 0.125, 0.250]],
  "magmom_total_mub_per_atom": 0.4883,
  "dft_energy_ry_per_atom": -0.2801,
  "e_form_raw_ev_per_fu": -0.87
}

(22)
{
  "formula": "Sb2Br",
  "functional": "GGA-PBE",
  "state": "optimized geometry",
  "cell": [[8.579, 0.042, 0.000], [-7.561, 4.054, 0.000], [0.000, 0.000, 5.837]],
  "species": ["Sb", "Sb", "Br", "Sb", "Br", "Sb"],
  "fractional_positions": [[0.078, 0.922, 0.500], [0.745, 0.255, 0.000], [0.054, 0.946, 0.000], [0.366, 0.634, 0.000], [0.390, 0.610, 0.500], [0.699, 0.301, 0.500]],
  "magmom_total_mub_per_atom": 0.0000,
  "dft_energy_ry_per_atom": -0.2569,
  "e_form_raw_ev_per_fu": -0.57
}